No. 1
{"formula": "Nb3TeOs", "functional": "GGA-PBEsol", "state": "optimized geometry", "cell": [[4.8467, 0.0000, 0.0000], [0.0000, 4.8467, 0.0000], [0.0000, 0.0000, 4.8467]], "species": ["Nb", "Nb", "Nb", "Te", "Os"], "frac_coords": [[0.0000, 0.0000, 0.5000], [0.0000, 0.5000, 0.0000], [0.5000, 0.0000, 0.0000], [0.0000, 0.0000, 0.0000], [0.5000, 0.5000, 0.5000]], "e_form_raw_ev_per_atom": 2.06}

***

No. 2
{"formula": "NbTe4Os", "functional": "GGA-PBEsol", "state": "optimized geometry", "cell": [[3.7448, 0.0000, 0.0000], [0.0000, 12.3875, 0.0000], [0.0000, 0.0000, 12.9205]], "species": ["Nb", "Nb", "Nb", "Nb", "Te", "Te", "Te", "Te", "Te", "Te", "Te", "Te", "Te", "Te", "Te", "Te", "Te", "Te", "Te", "Te", "Os", "Os", "Os", "Os"], "frac_coords": [[0.0000, 0.0545, 0.0000], [0.0000, 0.2805, 0.4827], [0.5000, 0.7195, 0.9827], [0.5000, 0.9455, 0.5000], [0.0000, 0.0720, 0.3858], [0.0000, 0.1921, 0.8382], [0.0000, 0.3411, 0.0875], [0.0000, 0.4232, 0.6387], [0.0000, 0.5696, 0.3880], [0.0000, 0.6708, 0.8336], [0.0000, 0.8451, 0.1021], [0.0000, 0.8955, 0.6487], [0.5000, 0.1045, 0.1487], [0.5000, 0.1549, 0.6021], [0.5000, 0.3292, 0.3336], [0.5000, 0.4304, 0.8880], [0.5000, 0.5768, 0.1387], [0.5000, 0.6589, 0.5875], [0.5000, 0.8079, 0.3382], [0.5000, 0.9280, 0.8858], [0.0000, 0.5388, 0.9966], [0.0000, 0.7676, 0.4808], [0.5000, 0.2324, 0.9808], [0.5000, 0.4612, 0.4966]], "e_form_raw_ev_per_atom": -0.28}

***

No. 3
{"formula": "Ti3NbOs", "functional": "GGA-PBEsol", "state": "optimized geometry", "cell": [[4.5197, 0.0000, 0.0000], [0.0000, 4.5197, 0.0000], [0.0000, 0.0000, 4.5197]], "species": ["Ti", "Ti", "Ti", "Nb", "Os"], "frac_coords": [[0.0000, 0.0000, 0.5000], [0.0000, 0.5000, 0.0000], [0.5000, 0.0000, 0.0000], [0.0000, 0.0000, 0.0000], [0.5000, 0.5000, 0.5000]], "formation_enthalpy_0k_ev_per_fu": 6.976}